Entry 1:
Compound: TaRe2Rh
Source: Alexandria via LeMat-Bulk
Functional: PBE
Structure: optimized geometry

Structure (extended XYZ):
```
4
Lattice="-1.992 1.992 3.908 1.992 -1.992 3.908 1.992 1.992 -3.908" Properties=species:S:1:pos:R:3 pbc="T T T"
Ta 0.000 1.992 1.954
Re 0.000 0.000 3.908
Re 1.992 0.000 1.954
Rh 0.000 0.000 0.000
```

**Total moment**: 0.0 Bohr magnetons per cell
**Energy**: -11.154 eV per atom
**Formation enthalpy at 0 K**: -0.129 eV/atom
**E above lowest polymorph**: 20.9 meV/atom

---

Entry 2:
Compound: TaRe2Rh
Source: Alexandria via LeMat-Bulk
Functional: PBE
Structure: optimized geometry

Structure (extended XYZ):
```
4
Lattice="2.819 0.000 0.000 0.000 3.904 0.000 0.000 0.000 5.671" Properties=species:S:1:pos:R:3 pbc="T T T"
Ta 1.409 1.952 4.211
Re 0.000 0.000 0.120
Re 1.409 1.952 1.333
Rh 0.000 0.000 2.842
```

**Total moment**: 0.0 Bohr magnetons per cell
**Energy**: -11.143 eV per atom
**Formation enthalpy at 0 K**: -0.118 eV/atom
**E above lowest polymorph**: 31.8 meV/atom

---

Entry 3:
Compound: TaRe2Rh
Source: Alexandria via LeMat-Bulk
Functional: PBE
Structure: optimized geometry

Structure (extended XYZ):
```
4
Lattice="9.168 -1.405 -0.003 9.168 1.405 -0.003 8.954 0.000 2.421" Properties=species:S:1:pos:R:3 pbc="T T T"
Ta 6.768 0.000 0.599
Re 0.111 0.000 0.010
Re 20.434 0.000 1.808
Rh 13.622 0.000 1.205
```

**Total moment**: 0.0 Bohr magnetons per cell
**Energy**: -11.016 eV per atom
**Formation enthalpy at 0 K**: 0.009 eV/atom
**E above lowest polymorph**: 158.8 meV/atom

---

Entry 4:
Compound: TaRe2Rh
Source: Alexandria via LeMat-Bulk
Functional: PBE
Structure: optimized geometry

Structure (extended XYZ):
```
4
Lattice="1.398 4.608 0.004 -1.398 4.608 0.004 0.000 0.798 4.830" Properties=species:S:1:pos:R:3 pbc="T T T"
Ta 0.000 2.487 1.268
Re 0.000 0.822 4.727
Re 0.000 7.540 3.683
Rh 0.000 4.972 2.411
```

**Total moment**: 0.0 Bohr magnetons per cell
**Energy**: -11.107 eV per atom
**Formation enthalpy at 0 K**: -0.082 eV/atom
**E above lowest polymorph**: 68.0 meV/atom

---

- What is the energy in the third record?
  -11.016 eV per atom